Record 1
Computed, not measured: a relaxed SmTi2Nb crystal at the PBE level of DFT.

**Formation enthalpy at 0 K**: 0.121 eV per atom
**Crystal system**: tetragonal
**Total energy**: -7.524 eV/atom

Lattice parameters (Å, degrees): 3.463 3.463 7.036 90.00 90.00 90.00
Element x y z (fractional)
Nb 0.500 0.500 0.000
Sm 0.500 0.500 0.500
Ti 0.000 0.000 0.804
Ti 0.000 0.000 0.196

***

Record 2
Computed, not measured: a relaxed SmNbV4 crystal at the PBE level of DFT.

**Formation enthalpy at 0 K**: 0.265 eV per atom
**Crystal system**: cubic
**Total energy**: -8.279 eV/atom

Lattice parameters (Å, degrees): 5.220 5.220 5.220 60.00 60.00 60.00
Element x y z (fractional)
Nb 0.250 0.250 0.250
Sm 0.000 0.000 0.000
V 0.625 0.625 0.126
V 0.625 0.126 0.625
V 0.625 0.625 0.625
V 0.126 0.625 0.625

***

Record 3
Computed, not measured: a relaxed SmNbW crystal at the PBE level of DFT.

**Formation enthalpy at 0 K**: 0.454 eV per atom
**Crystal system**: orthorhombic
**Total energy**: -8.794 eV/atom

Lattice parameters (Å, degrees): 5.028 5.671 10.949 84.16 76.73 63.69
Element x y z (fractional)
Nb 0.161 0.500 0.678
Nb 0.339 0.500 0.322
Nb 0.589 0.000 0.822
Nb 0.411 0.000 0.178
W 0.625 0.500 0.750
W 0.875 0.500 0.250
W 0.125 0.000 0.750
W 0.875 0.000 0.250
Sm 0.906 0.188 0.500
Sm 0.594 0.812 0.500
Sm 0.844 0.312 0.000
Sm 0.156 0.688 0.000